Entry 1:
Sm4Dy3Bi4 PBE relaxed; space-group type = Immm, No. 71
1.0
4.0789 0.0000 0.0000
0.0000 9.3484 0.0000
-2.0394 -4.6742 9.0916
Sm Dy Bi
4 3 4
Direct
0.3336 0.1551 0.6673
0.6664 0.4879 0.3327
0.6664 0.8449 0.3327
0.3336 0.5121 0.6673
0.0981 0.0981 0.1961
0.9019 0.9019 0.8039
0.0000 0.5000 0.0000
0.2698 0.7698 0.5396
0.7302 0.2302 0.4604
0.5000 0.7919 0.0000
0.5000 0.2081 0.0000

---

Entry 2:
Sm2DyBi2 PBE relaxed; space-group type = C2/m, No. 12
1.0
4.3777 0.0041 -0.5654
2.3172 8.9334 0.7957
1.1191 1.1164 8.6771
Sm Dy Bi
4 2 4
Direct
0.5001 0.4996 0.2490
0.8198 0.8604 0.6598
0.1802 0.1396 0.3402
0.4999 0.5004 0.7510
0.8194 0.8610 0.1601
0.1806 0.1390 0.8399
0.3632 0.7738 0.9352
0.6347 0.2305 0.5707
0.6368 0.2262 0.0648
0.3653 0.7695 0.4293

---

Entry 3:
Sm8DyBi6 PBE relaxed; space-group type = R-3, No. 148
1.0
-6.3660 3.4317 -2.9424
-6.7075 -3.9679 -0.4747
-6.8676 2.9742 7.9684
Sm Dy Bi
8 1 6
Direct
0.5427 0.2159 0.3607
0.7841 0.1194 0.6393
0.1194 0.4573 0.6393
0.6667 0.6667 0.9998
0.3333 0.3333 0.0002
0.8806 0.5427 0.3607
0.2159 0.8806 0.3607
0.4573 0.7841 0.6393
0.0000 0.0000 0.0000
0.3910 0.0623 0.8148
0.9377 0.2681 0.1852
0.2681 0.6090 0.1852
0.7319 0.3910 0.8148
0.0623 0.7319 0.8148
0.6090 0.9377 0.1852

---

Entry 4:
Sm2DyBi PBE relaxed; space-group type = R-3m, No. 166
1.0
4.0854 0.0000 0.0000
2.0427 3.5381 0.0000
2.0427 1.1794 9.7451
Bi Sm Dy
1 2 1
Direct
0.0000 0.0000 0.0000
0.2628 0.2628 0.2115
0.7372 0.7372 0.7885
0.5000 0.5000 0.5000

---

Entry 5:
Sm3Dy2Bi3 PBE relaxed; space-group type = P6_3/mcm, No. 193
1.0
-1.1803 3.7333 -5.1575
0.0443 -7.5268 -5.4584
-7.9393 2.8712 3.8952
Sm Dy Bi
6 4 6
Direct
0.7500 0.2453 0.0000
0.7500 0.7547 0.7547
0.7500 0.0000 0.2453
0.2500 0.7547 0.0000
0.2500 0.2453 0.2453
0.2500 0.0000 0.7547
0.0000 0.3333 0.6667
0.5000 0.6667 0.3333
0.0000 0.6667 0.3333
0.5000 0.3333 0.6667
0.7500 0.6085 0.0000
0.7500 0.3915 0.3915
0.7500 0.0000 0.6085
0.2500 0.3915 0.0000
0.2500 0.6085 0.6085
0.2500 0.0000 0.3915

---

Entry 6:
SmDy5Bi6 PBE relaxed; space-group type = C2/m, No. 12
1.0
7.7741 0.2129 0.0000
2.3930 7.4006 0.0000
1.1965 3.7003 6.7365
Sm Dy Bi
1 5 6
Direct
0.0000 0.0000 0.0000
0.5000 0.1650 0.6700
0.0000 0.3327 0.3346
0.5000 0.5000 0.0000
0.0000 0.6673 0.6654
0.5000 0.8350 0.3300
0.7476 0.0844 0.3364
0.2524 0.5792 0.3364
0.2507 0.2532 0.0000
0.7493 0.7468 0.0000
0.7476 0.4208 0.6636
0.2524 0.9156 0.6636

---

Entry 7:
Sm2DyBi PBE relaxed; space-group type = P4/mmm, No. 123
1.0
-4.5961 1.6521 -0.8038
-0.3479 -2.8890 -3.9485
-1.7871 -3.6099 2.7987
Bi Sm Dy
1 2 1
Direct
0.5000 0.0000 0.0000
0.0000 0.0000 0.5000
0.0000 0.5000 0.0000
0.5000 0.5000 0.5000

---

Entry 8:
SmDy4Bi3 PBE relaxed; space-group type = Immm, No. 71
1.0
-3.8504 0.8687 0.8646
-2.6316 -6.3803 -5.3092
3.4250 -1.8801 7.6992
Sm Dy Bi
1 4 3
Direct
0.5000 0.0000 0.0000
0.3677 0.5712 0.7355
0.6323 0.4288 0.2645
0.6321 0.8354 0.2642
0.3679 0.1646 0.7358
0.0000 0.5000 0.0000
0.1810 0.1809 0.3621
0.8190 0.8191 0.6379

---

Entry 9:
SmDy3Bi3 PBE relaxed; space-group type = R-3, No. 148
1.0
-1.1236 4.4984 -7.9314
-7.5057 5.1226 -1.3523
0.0959 8.1983 -0.6848
Sm Dy Bi
2 6 6
Direct
0.3339 0.3339 0.9983
0.6661 0.6661 0.0017
0.3403 0.8224 0.7542
0.8224 0.0830 0.7542
0.0830 0.3403 0.7542
0.9170 0.6597 0.2458
0.1776 0.9170 0.2458
0.6597 0.1776 0.2458
0.3008 0.5272 0.2546
0.9174 0.3008 0.2546
0.5272 0.9174 0.2546
0.4728 0.0826 0.7454
0.0826 0.6992 0.7454
0.6992 0.4728 0.7454

---

Entry 10:
SmDy4Bi2 PBE relaxed; space-group type = I4/mmm, No. 139
1.0
-0.2832 5.3566 0.1180
-3.9608 -0.1297 -3.6170
-3.5113 -3.0474 7.9339
Sm Dy Bi
1 4 2
Direct
0.0000 0.0000 0.0000
0.8187 0.8187 0.6375
0.1813 0.1813 0.3625
0.0000 0.5000 0.0000
0.5000 0.0000 0.0000
0.6346 0.6346 0.2693
0.3654 0.3654 0.7307

---

Entry 11:
Sm12DyBi6 PBE relaxed; space-group type = R-3, No. 148
1.0
-5.3877 5.9376 -4.4508
-2.9325 -8.2976 -2.5771
-2.3790 0.7512 8.8243
Sm Dy Bi
12 1 6
Direct
0.8279 0.6310 0.4949
0.4949 0.8279 0.6310
0.6310 0.4949 0.8279
0.1721 0.3690 0.5051
0.5051 0.1721 0.3690
0.3690 0.5051 0.1721
0.0209 0.9240 0.3248
0.0760 0.6752 0.9791
0.6752 0.9791 0.0760
0.9791 0.0760 0.6752
0.9240 0.3248 0.0209
0.3248 0.0209 0.9240
0.0000 0.0000 0.0000
0.6513 0.8653 0.3697
0.6303 0.3487 0.1347
0.1347 0.6303 0.3487
0.3487 0.1347 0.6303
0.3697 0.6513 0.8653
0.8653 0.3697 0.6513

---

Calculated formation energy from the elements in order - -12.8; -14.3; -13.2; -3.4; -16.9; -20.0; -8.8; -9.2; -15.2; 7.2; -7.1 kcal/mol of atoms
Calculated density of states at the Fermi level in order - 1.200; 1.078; 0.625; 1.399; 1.023; 0.175; 1.096; 1.164; 0.710; 1.019; 0.942 states/eV/atom
Calculated energy in order - -4.938; -4.983; -4.947; -4.626; -5.108; -5.120; -4.863; -4.744; -4.971; -4.099; -4.754 eV/atom